Entry 1:
GGA-PBE ThU2AlC4, optimized geometry; size of the total moment = 2.28 μB per formula unit; symmetry = Cmcm; ΔH_f (0 K) = -160 meV per atom
1.0
-2.578 2.497 0.265
-1.069 -4.150 4.264
6.594 6.011 7.504
C Th Al U
8 2 2 4
Direct
0.262 0.523 0.385 C
0.000 0.000 0.500 C
0.262 0.523 0.115 C
0.738 0.477 0.615 C
0.738 0.477 0.885 C
0.440 0.879 0.750 C
0.000 0.000 0.000 C
0.560 0.121 0.250 C
0.110 0.219 0.750 Th
0.890 0.781 0.250 Th
0.155 0.310 0.250 Al
0.845 0.690 0.750 Al
0.627 0.254 0.450 U
0.373 0.746 0.950 U
0.627 0.254 0.050 U
0.373 0.746 0.550 U


Entry 2:
GGA-PBE MoRuRh, optimized geometry; size of the total moment = 0.00 μB per formula unit; symmetry = Cmcm; ΔH_f (0 K) = -72 meV per atom
1.0
3.898 0.000 0.000
0.000 3.767 -0.981
0.000 -0.426 6.086
Mo Ru Rh
2 2 2
Direct
0.750 0.908 0.816 Mo
0.250 0.092 0.184 Mo
0.250 0.752 0.504 Ru
0.750 0.248 0.496 Ru
0.250 0.418 0.837 Rh
0.750 0.582 0.163 Rh


Entry 3:
GGA-PBE HgGe2Pt2, optimized geometry; size of the total moment = 0.00 μB per formula unit; symmetry = P4/mbm; ΔH_f (0 K) = -131 meV per atom
1.0
7.686 0.000 0.000
0.000 7.686 0.000
0.000 0.000 3.093
Ge Hg Pt
4 2 4
Direct
0.149 0.649 0.500 Ge
0.649 0.851 0.500 Ge
0.851 0.351 0.500 Ge
0.351 0.149 0.500 Ge
0.500 0.500 0.000 Hg
0.000 0.000 0.000 Hg
0.861 0.639 0.000 Pt
0.139 0.361 0.000 Pt
0.361 0.861 0.000 Pt
0.639 0.139 0.000 Pt


Entry 4:
GGA-PBE TiFeReSi, optimized geometry; size of the total moment = 0.35 μB per formula unit; symmetry = F-43m; formation energy without anion corrections = -0.4162 eV/atom
1.0
-0.803 3.317 2.444
0.243 -0.362 4.175
3.122 1.871 2.091
Si Fe Re Ti
1 1 1 1
Direct
0.750 0.750 0.750 Si
0.000 0.000 0.000 Fe
0.500 0.500 0.500 Re
0.250 0.250 0.250 Ti


Entry 5:
GGA-PBE PrCdTe2, optimized geometry; size of the total moment = 0.00 μB per formula unit; symmetry = R3m; formation energy without anion corrections = -0.8246 eV/atom
1.0
4.456 0.000 0.000
2.228 3.859 0.000
2.228 1.286 7.806
Cd Te Pr
1 2 1
Direct
0.500 0.500 0.500 Cd
0.253 0.253 0.242 Te
0.083 0.083 0.752 Te
0.665 0.665 0.006 Pr


Entry 6:
GGA-PBE Ho2ErRu, optimized geometry; size of the total moment = 0.00 μB per formula unit; symmetry = Pnma; ΔH_f (0 K) = -346 meV per atom
1.0
6.271 0.000 0.000
0.000 7.279 0.000
0.000 0.000 9.104
Ru Er Ho
4 4 8
Direct
0.037 0.385 0.250 Ru
0.537 0.115 0.750 Ru
0.463 0.885 0.250 Ru
0.963 0.615 0.750 Ru
0.368 0.459 0.750 Er
0.868 0.041 0.250 Er
0.132 0.959 0.750 Er
0.632 0.541 0.250 Er
0.331 0.177 0.436 Ho
0.831 0.323 0.564 Ho
0.169 0.677 0.064 Ho
0.169 0.677 0.436 Ho
0.669 0.823 0.564 Ho
0.331 0.177 0.064 Ho
0.831 0.323 0.936 Ho
0.669 0.823 0.936 Ho


Entry 7:
GGA-PBE FeGeMo, optimized geometry; size of the total moment = 0.23 μB per formula unit; symmetry = I4mm; ΔH_f (0 K) = 9 meV per atom
1.0
-2.088 1.032 1.678
-0.783 -2.679 0.673
4.493 0.877 2.598
Ge Mo Fe
1 1 1
Direct
0.317 0.317 0.634 Ge
0.006 0.006 0.011 Mo
0.677 0.677 0.355 Fe


Entry 8:
GGA-PBE Y2MoIr2, optimized geometry; size of the total moment = 0.00 μB per formula unit; symmetry = P4/mbm; ΔH_f (0 K) = -438 meV per atom
1.0
6.724 0.000 0.000
0.000 6.724 0.000
0.000 0.000 4.586
Mo Y Ir
2 4 4
Direct
0.500 0.500 0.000 Mo
0.000 0.000 0.000 Mo
0.823 0.323 0.500 Y
0.177 0.677 0.500 Y
0.323 0.177 0.500 Y
0.677 0.823 0.500 Y
0.640 0.140 0.000 Ir
0.860 0.640 0.000 Ir
0.140 0.360 0.000 Ir
0.360 0.860 0.000 Ir


Entry 9:
GGA-PBE SrPmBi, optimized geometry; size of the total moment = 0.22 μB per formula unit; symmetry = F-43m; ΔH_f (0 K) = -416 meV per atom
1.0
-1.977 4.316 -2.727
-5.390 0.958 -0.072
-2.059 4.265 2.747
Sr Bi Pm
1 1 1
Direct
0.500 0.500 0.500 Sr
0.250 0.250 0.250 Bi
0.000 0.000 0.000 Pm


Entry 10:
GGA-PBE BaLiIr2O8, optimized geometry; size of the total moment = 3.02 μB per formula unit; symmetry = P-3; formation energy without anion corrections = -1.0090 eV/atom
1.0
-2.940 0.503 -4.649
4.036 -3.757 0.323
-4.931 -5.075 2.568
O Li Ba Ir
8 1 1 2
Direct
0.056 0.316 0.681 O
0.684 0.740 0.681 O
0.667 0.333 0.031 O
0.260 0.944 0.681 O
0.333 0.667 0.969 O
0.316 0.260 0.319 O
0.944 0.684 0.319 O
0.740 0.056 0.319 O
0.000 0.000 0.500 Li
0.000 0.000 0.000 Ba
0.667 0.333 0.276 Ir
0.333 0.667 0.724 Ir


Entry 11:
GGA-PBE CaZrAs, optimized geometry; size of the total moment = 0.00 μB per formula unit; symmetry = C2/m; ΔH_f (0 K) = -699 meV per atom
1.0
7.824 0.000 0.002
0.000 3.879 0.000
-2.141 0.000 10.211
Ca As Zr
4 4 4
Direct
0.331 0.500 0.620 Ca
0.331 0.000 0.120 Ca
0.669 0.500 0.380 Ca
0.669 0.000 0.880 Ca
0.726 0.500 0.681 As
0.726 0.000 0.181 As
0.274 0.000 0.819 As
0.274 0.500 0.319 As
0.951 0.500 0.129 Zr
0.951 0.000 0.629 Zr
0.049 0.000 0.371 Zr
0.049 0.500 0.871 Zr


Entry 12:
GGA-PBE KBe3Au, optimized geometry; size of the total moment = 0.00 μB per formula unit; symmetry = Pm-3m; ΔH_f (0 K) = 367 meV per atom
1.0
-0.524 -4.484 0.270
3.892 -0.589 -2.227
2.244 -0.025 3.927
Be K Au
3 1 1
Direct
0.000 0.500 0.000 Be
0.500 0.000 0.000 Be
0.000 0.000 0.500 Be
0.500 0.500 0.500 K
0.000 0.000 0.000 Au


Entry 13:
GGA-PBE LaW3Se, optimized geometry; size of the total moment = 0.00 μB per formula unit; symmetry = Pm-3m; formation energy without anion corrections = 1.1899 eV/atom
1.0
-1.768 -4.375 -0.586
4.389 -1.676 -0.735
0.470 -0.814 4.661
La W Se
1 3 1
Direct
0.500 0.500 0.500 La
0.500 0.000 0.000 W
0.000 0.000 0.500 W
0.000 0.500 0.000 W
0.000 0.000 0.000 Se


Entry 14:
GGA-PBE LiTcH2, optimized geometry; raw total energy = -4.75 eV/atom; size of the total moment = 0.00 μB per formula unit; symmetry = I-42d
1.0
4.636 0.000 0.000
0.000 4.636 0.000
2.318 2.318 3.049
H Li Tc
4 2 2
Direct
0.628 0.125 0.250 H
0.122 0.625 0.250 H
0.375 0.372 0.750 H
0.875 0.878 0.750 H
0.250 0.750 0.500 Li
0.500 0.500 0.000 Li
0.750 0.250 0.500 Tc
0.000 0.000 0.000 Tc


Entry 15:
GGA-PBE Tb2YGa2Cu2, optimized geometry; size of the total moment = 0.00 μB per formula unit; symmetry = R-3m; ΔH_f (0 K) = -403 meV per atom
1.0
-3.111 -0.306 3.063
0.531 -2.710 3.394
3.176 5.766 6.929
Cu Tb Ga Y
2 2 2 1
Direct
0.602 0.602 0.193 Cu
0.398 0.398 0.807 Cu
0.876 0.876 0.372 Tb
0.124 0.124 0.628 Tb
0.264 0.264 0.207 Ga
0.736 0.736 0.793 Ga
0.000 0.000 0.000 Y


Entry 16:
GGA-PBE Pm2GdI, optimized geometry; size of the total moment = 7.47 μB per formula unit; symmetry = R-3m; formation energy without anion corrections = -0.3820 eV/atom
1.0
3.799 0.000 0.000
1.900 3.290 0.000
1.900 1.097 10.737
Pm I Gd
2 1 1
Direct
0.255 0.255 0.235 Pm
0.745 0.745 0.765 Pm
0.000 0.000 0.000 I
0.500 0.500 0.500 Gd


Entry 17:
GGA-PBE Dy5U2S12, optimized geometry; size of the total moment = 3.00 μB per formula unit; symmetry = C2/m; formation energy without anion corrections = -1.7550 eV/atom
1.0
-6.088 1.898 -3.612
6.028 -3.614 -4.625
-4.394 -6.708 3.882
S Dy U
12 5 2
Direct
0.551 0.643 0.904 S
0.499 0.998 0.779 S
0.401 0.297 0.563 S
0.599 0.703 0.437 S
0.501 0.002 0.221 S
0.104 0.703 0.437 S
0.093 0.643 0.904 S
0.896 0.297 0.563 S
0.011 0.022 0.803 S
0.989 0.978 0.197 S
0.449 0.357 0.096 S
0.907 0.357 0.096 S
0.707 0.413 0.366 Dy
0.293 0.587 0.634 Dy
0.000 0.000 0.500 Dy
0.687 0.374 0.818 Dy
0.313 0.626 0.182 Dy
0.254 0.000 0.000 U
0.746 0.000 0.000 U


Entry 18:
GGA-PBE CaTaW4, optimized geometry; size of the total moment = 0.00 μB per formula unit; symmetry = F-43m; ΔH_f (0 K) = 352 meV per atom
1.0
1.752 -3.825 3.392
-2.142 -4.958 -0.179
2.924 -4.141 -1.874
W Ca Ta
4 1 1
Direct
0.873 0.376 0.376 W
0.376 0.376 0.873 W
0.376 0.873 0.376 W
0.376 0.376 0.376 W
0.750 0.750 0.750 Ca
0.000 0.000 0.000 Ta


Entry 19:
GGA-PBE CsTiBiO4, optimized geometry; size of the total moment = 0.00 μB per formula unit; symmetry = P2_1/m; formation energy without anion corrections = -2.1148 eV/atom
1.0
-4.836 1.741 -3.835
3.386 -1.485 -4.943
-0.937 -7.800 1.702
Ti O Bi Cs
2 8 2 2
Direct
0.271 0.750 0.347 Ti
0.729 0.250 0.653 Ti
0.086 0.990 0.336 O
0.914 0.010 0.664 O
0.086 0.510 0.336 O
0.587 0.250 0.811 O
0.914 0.490 0.664 O
0.489 0.750 0.556 O
0.511 0.250 0.444 O
0.413 0.750 0.189 O
0.789 0.750 0.476 Bi
0.211 0.250 0.524 Bi
0.291 0.250 0.051 Cs
0.709 0.750 0.949 Cs


Entry 20:
GGA-PBE TmZrBi2, optimized geometry; size of the total moment = 0.00 μB per formula unit; symmetry = R-3m; ΔH_f (0 K) = -471 meV per atom
1.0
-1.983 -3.757 -0.636
2.230 -3.396 -1.394
1.467 -4.267 6.125
Tm Bi Zr
1 2 1
Direct
0.500 0.500 0.500 Tm
0.747 0.747 0.758 Bi
0.253 0.253 0.242 Bi
0.000 0.000 0.000 Zr


Entry 21:
GGA-PBE PmCuAg2Se4, optimized geometry; size of the total moment = 0.00 μB per formula unit; symmetry = Cmcm; formation energy without anion corrections = -0.5630 eV/atom
1.0
-1.433 3.723 -0.766
-1.293 -3.929 -5.908
-11.572 -3.460 4.833
Cu Se Ag Pm
2 8 4 2
Direct
0.169 0.337 0.250 Cu
0.831 0.663 0.750 Cu
0.698 0.395 0.873 Se
0.698 0.395 0.627 Se
0.000 0.000 0.000 Se
0.432 0.864 0.750 Se
0.302 0.605 0.373 Se
0.568 0.136 0.250 Se
0.302 0.605 0.127 Se
0.000 0.000 0.500 Se
0.373 0.746 0.942 Ag
0.627 0.254 0.058 Ag
0.373 0.746 0.558 Ag
0.627 0.254 0.442 Ag
0.092 0.183 0.750 Pm
0.908 0.817 0.250 Pm


Entry 22:
GGA-PBE Y2AgP, optimized geometry; size of the total moment = 0.00 μB per formula unit; symmetry = Immm; ΔH_f (0 K) = -585 meV per atom
1.0
-0.055 -5.261 0.308
-0.610 -0.403 5.220
-2.955 2.288 -3.716
P Y Ag
1 2 1
Direct
0.500 0.000 0.500 P
0.270 0.270 0.000 Y
0.730 0.730 0.000 Y
0.000 0.500 0.500 Ag


Entry 23:
GGA-PBE NdPd2Pb4, optimized geometry; size of the total moment = 0.00 μB per formula unit; symmetry = Pnma; ΔH_f (0 K) = -376 meV per atom
1.0
4.630 0.000 0.000
0.000 7.744 0.000
0.000 0.000 19.775
Pd Pb Nd
8 16 4
Direct
0.250 0.767 0.543 Pd
0.250 0.963 0.783 Pd
0.250 0.733 0.043 Pd
0.750 0.037 0.217 Pd
0.750 0.233 0.457 Pd
0.750 0.267 0.957 Pd
0.750 0.463 0.717 Pd
0.250 0.537 0.283 Pd
0.750 0.177 0.817 Pb
0.250 0.677 0.683 Pb
0.250 0.361 0.032 Pb
0.250 0.823 0.183 Pb
0.250 0.139 0.532 Pb
0.750 0.639 0.968 Pb
0.750 0.502 0.567 Pb
0.750 0.743 0.309 Pb
0.750 0.323 0.317 Pb
0.750 0.757 0.809 Pb
0.250 0.498 0.433 Pb
0.250 0.243 0.191 Pb
0.250 0.257 0.691 Pb
0.750 0.861 0.468 Pb
0.250 0.002 0.933 Pb
0.750 0.998 0.067 Pb
0.750 0.968 0.644 Nd
0.250 0.468 0.856 Nd
0.750 0.532 0.144 Nd
0.250 0.032 0.356 Nd